No. 1
Here is crystalline GdIBr at its relaxed geometry from Alexandria. Energies are from PBE-GGA. Values from VASP.

Geometry as Quantum ESPRESSO input:
```
&SYSTEM
  ibrav = 0, nat = 3, ntyp = 3
/
ATOMIC_SPECIES
Br 79.90 Br.upf
I 126.90 I.upf
Gd 157.25 Gd.upf
CELL_PARAMETERS angstrom
-3.172 -1.003 -2.455
3.874 -0.244 -1.424
0.432 -7.293 2.423
ATOMIC_POSITIONS crystal
Br 0.333 0.667 0.571
I 0.000 0.000 0.084
Gd 0.667 0.333 0.345
```

Formation energy (no corrections): -1.45 eV/atom
ΔE to the lowest computed polymorph: 0.000 eV/atom

No. 2
Here is crystalline GdIBr at its relaxed geometry from Alexandria. Energies are from PBE-GGA. Values from VASP.

Geometry as Quantum ESPRESSO input:
```
&SYSTEM
  ibrav = 0, nat = 3, ntyp = 3
/
ATOMIC_SPECIES
Br 79.90 Br.upf
I 126.90 I.upf
Gd 157.25 Gd.upf
CELL_PARAMETERS angstrom
5.270 0.000 0.000
2.635 4.564 0.000
2.635 1.521 4.303
ATOMIC_POSITIONS crystal
Br 0.500 0.500 0.500
I 0.000 0.000 0.000
Gd 0.250 0.250 0.250
```

Formation energy (no corrections): -1.25 eV/atom
ΔE to the lowest computed polymorph: 0.207 eV/atom

No. 3
Here is crystalline GdInBr2 at its relaxed geometry from Alexandria. Energies are from PBE-GGA. Values from VASP.

Geometry as Quantum ESPRESSO input:
```
&SYSTEM
  ibrav = 0, nat = 4, ntyp = 3
/
ATOMIC_SPECIES
Gd 157.25 Gd.upf
Br 79.90 Br.upf
In 114.82 In.upf
CELL_PARAMETERS angstrom
-0.154 -3.676 1.614
-0.638 -3.199 -2.346
9.853 -3.312 -1.605
ATOMIC_POSITIONS crystal
Gd 0.000 0.000 0.000
Br 0.910 0.910 0.271
In 0.500 0.500 0.500
Br 0.090 0.090 0.729
```

Formation energy (no corrections): -0.71 eV/atom

No. 4
Here is crystalline K2GdBr4 at its relaxed geometry from Alexandria. Energies are from PBE-GGA. Values from VASP.

Geometry as Quantum ESPRESSO input:
```
&SYSTEM
  ibrav = 0, nat = 7, ntyp = 3
/
ATOMIC_SPECIES
Br 79.90 Br.upf
K 39.10 K.upf
Gd 157.25 Gd.upf
CELL_PARAMETERS angstrom
-5.696 0.387 -0.613
-0.154 -5.390 -1.973
-3.974 -5.374 6.638
ATOMIC_POSITIONS crystal
Br 0.170 0.170 0.659
Br 0.000 0.500 0.000
K 0.360 0.360 0.280
Br 0.500 0.000 0.000
K 0.640 0.640 0.720
Gd 0.000 0.000 0.000
Br 0.830 0.830 0.341
```

Formation energy (no corrections): -1.61 eV/atom